No. 1
{
  "formula": "Os3Au",
  "functional": "GGA-PBE",
  "state": "optimized geometry",
  "lattice": [[-3.2413, -1.4973, -1.6134], [1.4557, -3.6123, 0.4279], [-1.6510, -0.2454, 3.5446]],
  "species": ["Os", "Os", "Os", "Au"],
  "fractional_positions": [[0.5000, 0.0000, 0.5000], [0.5000, 0.5000, 0.0000], [0.0000, 0.5000, 0.5000], [0.0000, 0.0000, 0.0000]],
  "magmom_total_mub_per_atom": 0.0018,
  "ef_mev_per_atom": 716
}

---

No. 2
{
  "formula": "OsAu3",
  "functional": "GGA-PBE",
  "state": "optimized geometry",
  "lattice": [[4.0844, 0.0000, 0.0000], [0.0000, 4.0844, 0.0000], [0.0000, 0.0000, 4.0844]],
  "species": ["Os", "Au", "Au", "Au"],
  "fractional_positions": [[0.5000, 0.5000, 0.0000], [0.0000, 0.0000, 0.0000], [0.5000, 0.0000, 0.5000], [0.0000, 0.5000, 0.5000]],
  "magmom_total_mub_per_atom": 0.0000,
  "ef_mev_per_atom": 701
}

---

No. 3
{
  "formula": "Os2Au",
  "functional": "GGA-PBE",
  "state": "optimized geometry",
  "lattice": [[6.2587, -0.0077, 0.0000], [4.9921, 3.7750, 0.0000], [-5.6254, -1.8837, 1.9946]],
  "species": ["Os", "Os", "Au"],
  "fractional_positions": [[0.3190, 0.3190, 0.0000], [0.6810, 0.6810, 0.0000], [0.0000, 0.0000, 0.0000]],
  "magmom_total_mub_per_atom": 0.0000,
  "ef_mev_per_atom": 366
}

---

No. 4
{
  "formula": "OsAu3",
  "functional": "GGA-PBE",
  "state": "optimized geometry",
  "lattice": [[5.7993, 0.0000, -0.0166], [0.0000, 4.9365, 0.0000], [-7.1039, 0.0000, 2.4199]],
  "species": ["Os", "Au", "Au", "Au"],
  "fractional_positions": [[0.2500, 0.5000, 0.0000], [0.7500, 0.5000, 0.0000], [0.0223, 0.0000, 0.0166], [0.4777, 0.0000, 0.9834]],
  "magmom_total_mub_per_atom": 0.0000,
  "ef_mev_per_atom": 563
}

---

No. 5
{
  "formula": "Os2Au",
  "functional": "GGA-PBE",
  "state": "optimized geometry",
  "lattice": [[-1.1864, -4.6759, -1.9409], [4.9507, 1.2039, 1.0390], [-0.9092, -3.0201, 7.8319]],
  "species": ["Au", "Au", "Au", "Au", "Os", "Os", "Os", "Os", "Os", "Os", "Os", "Os"],
  "fractional_positions": [[0.6667, 0.3333, 0.5749], [0.6667, 0.3333, 0.9251], [0.3333, 0.6667, 0.4251], [0.3333, 0.6667, 0.0749], [0.1740, 0.8260, 0.7500], [0.8260, 0.6521, 0.2500], [0.6521, 0.8260, 0.7500], [0.1740, 0.3479, 0.7500], [0.8260, 0.1740, 0.2500], [0.3479, 0.1740, 0.2500], [0.0000, 0.0000, 0.5000], [0.0000, 0.0000, 0.0000]],
  "magmom_total_mub_per_atom": 0.0001,
  "ef_mev_per_atom": 817
}

---

No. 6
{
  "formula": "OsAu3",
  "functional": "GGA-PBE",
  "state": "optimized geometry",
  "lattice": [[-5.9927, 6.6438, 4.0838], [-7.4473, 6.1995, 1.6833], [-7.8301, 4.4825, 3.9151]],
  "species": ["Au", "Au", "Au", "Os"],
  "fractional_positions": [[0.2500, 0.2500, 0.2500], [0.4964, 0.4964, 0.4964], [0.0036, 0.0036, 0.0036], [0.7500, 0.7500, 0.7500]],
  "magmom_total_mub_per_atom": 0.0001,
  "ef_mev_per_atom": 374
}